Record 1
Material: Pm3ZnGe3
Method: DFT, PBE-GGA
State: optimized geometry

Computed properties:
Size of the total moment = 0.00 μB/cell
Formation enthalpy at 0 K = -745 meV/atom
Theoretical density = 7.19 Mg/m³
Offset from the most stable computed form = 0.000 eV per formula unit

Cell: 4.0957 4.3728 18.5264 Å, 90.00 90.00 90.00°
Closest atoms and distances in Å follow each position.
Space group Imm2 (No. 44)
Unique sites:
Pm (0.0000, 0.0000, 0.0000) [2 per cell]  2 Zn 3.06, 5 Ge 3.06-3.08
Pm (0.0000, 0.0000, 0.3668) [2 per cell]  7 Ge 3.05-3.18
Pm (0.0000, 0.5000, 0.6872) [2 per cell]  8 Ge 3.19-3.52, 4 Zn 3.28
Zn (0.0000, 0.5000, 0.1153) [2 per cell]  3 Ge 2.43-2.50
Ge (0.0000, 0.0000, 0.5383) [2 per cell]  2 Zn 2.50
Ge (0.0000, 0.0000, 0.8348) [2 per cell]  2 Ge 2.62
Ge (0.0000, 0.5000, 0.2465) [2 per cell]  1 Zn 2.43, 2 Ge 2.62

***

Record 2
Material: PmZnGe2
Method: DFT, PBE-GGA
State: optimized geometry

Computed properties:
Size of the total moment = 0.00 μB/cell
Formation enthalpy at 0 K = -312 meV/atom
Theoretical density = 7.03 Mg/m³
Offset from the most stable computed form = 0.721 eV per formula unit

Cell: 5.6719 9.1264 3.2446 Å, 90.00 90.00 90.00°
Closest atoms and distances in Å follow each position.
Space group Cmmm (No. 65)
Unique sites:
Pm (0.0000, 0.0000, 0.0000) [2 per cell]  8 Ge 3.14, 2 Pm 3.24, 4 Zn 3.27
Zn (0.0000, 0.5000, 0.5000) [2 per cell]  4 Ge 2.69
Ge (0.2500, 0.2500, 0.5000) [4 per cell]  2 Zn 2.69, 2 Ge 2.84

***

Record 3
Material: Pm6Zn5Ge
Method: DFT, PBE-GGA
State: optimized geometry

Computed properties:
Size of the total moment = 0.00 μB/cell
Formation enthalpy at 0 K = -391 meV/atom
Theoretical density = 7.18 Mg/m³

Cell: 5.1517 15.5496 7.3334 Å, 90.00 90.00 90.00°
Closest atoms and distances in Å follow each position.
Space group Cmmm (No. 65)
Unique sites:
Pm (0.0000, 0.0000, 0.2441) [4 per cell]  2 Ge 3.14, 6 Zn 3.19-3.27
Pm (0.0000, 0.3356, 0.2502) [8 per cell]  7 Zn 3.09-3.19, 1 Ge 3.15
Zn (0.0000, 0.1675, 0.5000) [4 per cell]  8 Pm 3.16-3.21
Zn (0.0000, 0.1760, 0.0000) [4 per cell]  8 Pm 3.09-3.27, 2 Zn 3.45
Zn (0.0000, 0.5000, 0.5000) [2 per cell]  8 Pm 3.14-3.19
Ge (0.0000, 0.5000, 0.0000) [2 per cell]  8 Pm 3.14-3.15

***

Record 4
Material: Pm3Zn2Ge
Method: DFT, PBE-GGA
State: optimized geometry

Computed properties:
Size of the total moment = 0.00 μB/cell
Formation enthalpy at 0 K = -467 meV/atom
Theoretical density = 7.23 Mg/m³

Cell: 5.1607 5.1607 6.3602 Å, 90.00 90.00 120.00°
Closest atoms and distances in Å follow each position.
Space group P-3m1 (No. 164)
Unique sites:
Pm (0.0000, 0.0000, 0.0000) [1 per cell]  6 Zn 3.10, 2 Ge 3.18
Pm (0.3333, 0.6667, 0.6568) [2 per cell]  5 Zn 3.04-3.32, 3 Ge 3.14
Zn (0.3333, 0.6667, 0.1347) [2 per cell]  8 Pm 3.04-3.32
Ge (0.0000, 0.0000, 0.5000) [1 per cell]  8 Pm 3.14-3.18

***

Record 5
Material: Pm4Zn5Ge6
Method: DFT, PBE-GGA
State: optimized geometry

Computed properties:
Size of the total moment = 0.00 μB/cell
Formation enthalpy at 0 K = -576 meV/atom
Theoretical density = 7.00 Mg/m³

Cell: 4.3156 18.8875 15.6283 Å, 90.00 90.00 90.00°
Closest atoms and distances in Å follow each position.
Space group Cmc2_1 (No. 36)
Unique sites:
Pm (0.0000, 0.0204, 0.0000) [4 per cell]  7 Ge 3.10-3.22, 3 Zn 3.17-3.28
Pm (0.0000, 0.0324, 0.2617) [4 per cell]  6 Ge 3.06-3.19, 5 Zn 3.07-3.17
Pm (0.0000, 0.1692, 0.8034) [4 per cell]  6 Ge 3.01-3.09, 1 Zn 3.36
Pm (0.0000, 0.1764, 0.4462) [4 per cell]  6 Ge 2.96-3.04
Zn (0.0000, 0.1512, 0.1273) [4 per cell]  4 Ge 2.52-2.67, 1 Zn 2.81
Zn (0.0000, 0.2998, 0.1255) [4 per cell]  4 Ge 2.58-2.73, 2 Zn 2.69-2.81
Zn (0.0000, 0.3453, 0.7747) [4 per cell]  4 Ge 2.54-2.79
Zn (0.0000, 0.3501, 0.4803) [4 per cell]  4 Ge 2.54-2.80
Zn (0.0000, 0.4335, 0.1847) [4 per cell]  4 Ge 2.54-2.69, 1 Zn 2.69
Ge (0.0000, 0.1118, 0.6186) [4 per cell]  4 Zn 2.54-2.73
Ge (0.0000, 0.2201, 0.9891) [4 per cell]  4 Zn 2.52-2.61
Ge (0.0000, 0.2248, 0.2634) [4 per cell]  4 Zn 2.54-2.58
Ge (0.0000, 0.4317, 0.6299) [4 per cell]  5 Zn 2.67-2.80
Ge (0.0000, 0.4319, 0.9058) [4 per cell]  1 Ge 2.54, 1 Zn 2.62
Ge (0.0000, 0.4403, 0.3545) [4 per cell]  1 Ge 2.54, 2 Zn 2.60-2.66

***

Record 6
Material: Pm2ZnGe
Method: DFT, PBE-GGA
State: optimized geometry

Computed properties:
Size of the total moment = 0.00 μB/cell
Formation enthalpy at 0 K = -583 meV/atom
Theoretical density = 7.03 Mg/m³
Offset from the most stable computed form = 0.000 eV per formula unit

Cell: 6.0173 4.1609 8.5898 Å, 90.00 109.99 90.00°
Closest atoms and distances in Å follow each position.
Space group P2_1/m (No. 11)
Unique sites:
Pm (0.2107, 0.2500, 0.4224) [2 per cell]  3 Zn 3.09-3.22, 4 Ge 3.10-3.26
Pm (0.2844, 0.7500, 0.0636) [2 per cell]  4 Zn 3.08-3.33, 3 Ge 3.13-3.26
Zn (0.1536, 0.2500, 0.7816) [2 per cell]  2 Ge 2.63
Ge (0.3653, 0.7500, 0.7076) [2 per cell]  2 Zn 2.63

***

Record 7
Material: Pm2ZnGe6
Method: DFT, PBE-GGA
State: optimized geometry

Computed properties:
Size of the total moment = 0.00 μB/cell
Formation enthalpy at 0 K = -181 meV/atom
Theoretical density = 5.89 Mg/m³

Cell: 14.5982 7.6684 4.1555 Å, 90.00 106.40 90.00°
Closest atoms and distances in Å follow each position.
Space group Cm (No. 8)
Unique sites:
Pm (0.0000, 0.0000, 0.0000) [2 per cell]  10 Ge 3.05-3.18
Pm (0.2485, 0.0000, 0.2490) [2 per cell]  10 Ge 2.99-3.32
Zn (0.0197, 0.5000, 0.5228) [2 per cell]  4 Ge 2.58-2.62
Ge (0.1191, 0.2160, 0.6190) [4 per cell]  1 Zn 2.58, 1 Ge 2.59
Ge (0.2942, 0.3262, 0.7950) [4 per cell]  4 Ge 2.59-2.66
Ge (0.4039, 0.2682, 0.4045) [4 per cell]  1 Zn 2.62, 2 Ge 2.62

***

Record 8
Material: Pm4Zn2Ge
Method: DFT, PBE-GGA
State: optimized geometry

Computed properties:
Size of the total moment = 0.00 μB/cell
Formation enthalpy at 0 K = -290 meV/atom
Theoretical density = 6.90 Mg/m³

Cell: 5.1155 5.1155 24.9703 Å, 90.00 90.00 120.00°
Closest atoms and distances in Å follow each position.
Space group R-3m (No. 166, hexagonal axes)
Unique sites:
Pm (0.0000, 0.0000, 0.1220) [6 per cell]  4 Zn 3.12-3.25, 3 Ge 3.16
Pm (0.0000, 0.0000, 0.3740) [6 per cell]  4 Zn 3.04-3.12, 1 Ge 3.15
Zn (0.0000, 0.0000, 0.2521) [6 per cell]  8 Pm 3.04-3.25
Ge (0.0000, 0.0000, 0.5000) [3 per cell]  8 Pm 3.15-3.16

***

Record 9
Material: Pm2Zn2Ge3
Method: DFT, PBE-GGA
State: optimized geometry

Computed properties:
Size of the total moment = 0.00 μB/cell
Formation enthalpy at 0 K = -531 meV/atom
Theoretical density = 7.22 Mg/m³
Offset from the most stable computed form = 0.000 eV per formula unit

Cell: 4.3484 19.8247 6.8174 Å, 90.00 90.00 90.00°
Closest atoms and distances in Å follow each position.
Space group Cmcm (No. 63)
Unique sites:
Pm (0.0000, 0.0411, 0.2500) [4 per cell]  9 Ge 3.09-3.40
Pm (0.0000, 0.1589, 0.7500) [4 per cell]  6 Zn 3.05-3.30, 6 Ge 3.12-3.35
Zn (0.0000, 0.3108, 0.5512) [8 per cell]  4 Ge 2.56-2.83, 1 Zn 2.71
Ge (0.0000, 0.2127, 0.2500) [4 per cell]  6 Zn 2.60-2.83
Ge (0.0000, 0.4339, 0.0630) [8 per cell]  2 Ge 2.55-2.76, 1 Zn 2.56

***

Record 10
Material: Pm7ZnGe2
Method: DFT, PBE-GGA
State: optimized geometry

Computed properties:
Size of the total moment = 0.01 μB/cell
Formation enthalpy at 0 K = -272 meV/atom
Theoretical density = 6.98 Mg/m³

Cell: 5.1319 5.1319 12.7928 Å, 90.00 90.00 120.00°
Closest atoms and distances in Å follow each position.
Space group P3m1 (No. 156)
Unique sites:
Pm (0.0000, 0.0000, 0.0000) [1 per cell]  4 Ge 2.95-3.25
Pm (0.0000, 0.0000, 0.2663) [1 per cell]  8 Pm 3.32-3.47, 3 Zn 3.51, 3 Ge 3.61
Pm (0.0000, 0.0000, 0.5379) [1 per cell]  1 Ge 2.96
Pm (0.3333, 0.6667, 0.1485) [1 per cell]  3 Ge 3.02, 3 Pm 3.32
Pm (0.3333, 0.6667, 0.6850) [1 per cell]  3 Ge 3.15, 1 Zn 3.47, 3 Pm 3.51
Pm (0.6667, 0.3333, 0.3971) [1 per cell]  3 Zn 2.97
Pm (0.6667, 0.3333, 0.8473) [1 per cell]  4 Ge 3.13-3.29
Zn (0.3333, 0.6667, 0.4138) [1 per cell]  3 Pm 2.97
Ge (0.0000, 0.0000, 0.7696) [1 per cell]  8 Pm 2.95-3.15
Ge (0.6667, 0.3333, 0.1048) [1 per cell]  7 Pm 3.02-3.29

***

Record 11
Material: PmZnGe
Method: DFT, PBE-GGA
State: optimized geometry

Computed properties:
Size of the total moment = 0.00 μB/cell
Formation enthalpy at 0 K = -506 meV/atom
Theoretical density = 7.29 Mg/m³
Offset from the most stable computed form = 0.511 eV per formula unit

Cell: 4.1004 5.6851 5.9329 Å, 89.97 89.86 68.90°
Closest atoms and distances in Å follow each position.
Space group P-1 (No. 2)
Unique sites:
Pm (0.1850, 0.1316, 0.2502) [2 per cell]  5 Zn 3.02-3.08, 4 Ge 3.19-3.20
Zn (0.1064, 0.2870, 0.7503) [2 per cell]  4 Ge 2.77-2.78, 5 Pm 3.02-3.08
Ge (0.5000, 0.5000, 0.0000) [1 per cell]  4 Zn 2.77, 2 Ge 2.97
Ge (0.5000, 0.5000, 0.5000) [1 per cell]  4 Zn 2.77-2.78, 2 Ge 2.97

***

Record 12
Material: Pm4ZnGe3
Method: DFT, PBE-GGA
State: optimized geometry

Computed properties:
Size of the total moment = 0.37 μB/cell
Formation enthalpy at 0 K = -724 meV/atom
Theoretical density = 7.13 Mg/m³

Cell: 4.1177 4.3750 11.1591 Å, 90.00 90.00 90.00°
Closest atoms and distances in Å follow each position.
Space group Pmm2 (No. 25)
Unique sites:
Pm (0.0000, 0.0000, 0.0000) [1 per cell]  7 Ge 3.07-3.26
Pm (0.0000, 0.5000, 0.4968) [1 per cell]  4 Zn 3.11, 3 Ge 3.13-3.28
Pm (0.5000, 0.0000, 0.2762) [1 per cell]  6 Ge 3.08-3.29, 1 Zn 3.26
Pm (0.5000, 0.5000, 0.7791) [1 per cell]  5 Ge 3.08-3.09, 2 Zn 3.21
Zn (0.5000, 0.0000, 0.5687) [1 per cell]  2 Ge 2.64
Ge (0.0000, 0.0000, 0.7163) [1 per cell]  2 Zn 2.64
Ge (0.0000, 0.5000, 0.2167) [1 per cell]  2 Ge 2.73
Ge (0.5000, 0.5000, 0.0556) [1 per cell]  2 Ge 2.73